(1)
A relaxed DyTc4Ge12 crystal. Source: Alexandria, functional PBE.

Cell and atoms, written as POSCAR:
```
DyTc4Ge12
1.0
-3.3530 -5.5197 4.0358
4.8855 -3.0902 -4.9578
3.7639 4.6568 4.7059
Dy Tc Ge
1 4 12
Cartesian
0.0000 0.0000 0.0000
2.4428 -1.5451 -2.4789
-1.6765 -2.7599 2.0179
2.6482 -1.9766 1.8919
1.8820 2.3284 2.3529
-0.4990 -4.8562 2.5831
1.8703 -2.6599 -0.3505
0.5121 -1.9189 5.6480
2.9278 1.5067 4.4342
4.7844 -2.0343 -1.8642
3.4262 -1.2933 4.1343
0.3784 -1.6382 2.8051
4.9180 -2.3150 0.9787
2.3687 -5.4599 -0.6504
2.3139 -4.3467 2.5012
2.9826 0.3935 1.2827
5.7955 0.9030 1.2007
```

Values from the calculation:
The magnetic moment is 0.00 Bohr magnetons per cell. The total energy is -5.78 eV per atom.


(2)
A relaxed Dy4TcGe crystal. Source: Alexandria, functional PBE.

Cell and atoms, written as POSCAR:
```
Dy4TcGe
1.0
6.0570 -0.3260 -1.5730
-2.6538 6.9648 -2.6869
-0.2972 -0.3752 7.9083
Dy Tc Ge
8 2 2
Cartesian
2.8981 3.9267 3.1490
-2.0796 6.4531 -0.3387
3.5486 1.2015 1.1164
0.6239 4.7493 -2.1203
2.4822 1.5143 5.7687
-0.4426 5.0621 2.5320
5.1857 -0.1895 3.9871
0.2079 2.3369 0.4994
1.2138 -0.4468 7.5008
1.8922 6.7104 -3.8524
2.7587 4.0116 0.0434
0.3474 2.2520 3.6050
```

Values from the calculation:
The magnetic moment is 0.00 Bohr magnetons per cell. The total energy is -5.93 eV per atom.


(3)
A relaxed DyTcGe crystal. Source: Alexandria, functional PBE.

Cell and atoms, written as POSCAR:
```
DyTcGe
1.0
-2.6002 -1.9971 1.7319
2.3435 0.1044 3.6389
-2.9113 3.1056 -0.7898
Ge Tc Dy
1 1 1
Cartesian
-0.4334 -0.3329 0.2887
-1.5931 1.7724 0.9751
-1.1416 -0.2265 3.3172
```

Values from the calculation:
The magnetic moment is 0.00 Bohr magnetons per cell. The total energy is -6.88 eV per atom.


(4)
A relaxed Dy3TcGe3 crystal. Source: Alexandria, functional PBE.

Cell and atoms, written as POSCAR:
```
Dy3TcGe3
1.0
4.1845 0.0000 0.6303
2.0645 5.4485 0.4996
0.1384 0.0408 13.2862
Dy Tc Ge
6 2 6
Cartesian
2.9570 1.8377 8.7796
3.4304 3.6516 5.6366
1.6348 1.3972 3.3522
4.7526 4.0921 11.0639
2.3782 1.5721 12.6218
4.0092 3.9172 1.7943
3.3794 0.4019 5.9753
3.0080 5.0874 8.4408
5.1914 3.9544 8.1511
1.1960 1.5349 6.2650
2.3518 4.5635 12.7968
4.0356 0.9258 1.6194
5.7891 4.6550 4.1834
0.5983 0.8343 10.2327
```

Values from the calculation:
The magnetic moment is 0.00 Bohr magnetons per cell. The total energy is -6.17 eV per atom.


(5)
A relaxed Dy4TcGe8 crystal. Source: Alexandria, functional PBE.

Cell and atoms, written as POSCAR:
```
Dy4TcGe8
1.0
-2.4660 1.4895 2.8086
-2.5537 -3.3025 -0.4907
8.1185 -7.9643 11.3519
Dy Tc Ge
4 1 8
Cartesian
0.7588 -0.7444 1.0610
3.6842 -6.5180 6.6915
0.7827 -4.1365 5.7628
6.0355 -6.3857 11.5677
2.5214 -2.4735 3.5256
3.7774 -3.7057 5.2818
6.3543 -9.1374 10.4250
-2.1119 -1.2969 1.7154
3.3930 -3.7933 7.8727
0.5923 -3.4849 2.3683
6.0907 -5.9750 8.5164
0.6061 -1.0594 3.9759
3.6274 -6.9272 9.7405
```

Values from the calculation:
The magnetic moment is 0.00 Bohr magnetons per cell. The total energy is -5.60 eV per atom.


(6)
A relaxed DyTc2Ge2 crystal. Source: Alexandria, functional PBE.

Cell and atoms, written as POSCAR:
```
DyTc2Ge2
1.0
4.0819 0.0000 -0.7840
-0.1533 4.0640 -0.7980
0.0235 0.0753 11.1404
Dy Tc Ge
2 4 4
Cartesian
3.3572 2.4520 6.4611
0.5949 1.6873 3.0973
2.1484 1.1705 0.1674
3.9250 0.9406 9.4170
1.8037 2.9687 9.3910
0.0272 3.1986 0.1414
2.8043 3.9791 3.5826
1.1478 0.1601 5.9758
1.6062 0.6460 8.3622
2.3460 3.4932 1.1962
```

Values from the calculation:
The magnetic moment is 0.00 Bohr magnetons per cell. The total energy is -7.36 eV per atom.


(7)
A relaxed DyTc3Ge3 crystal. Source: Alexandria, functional PBE.

Cell and atoms, written as POSCAR:
```
DyTc3Ge3
1.0
6.7602 0.0000 0.0000
0.0000 6.7602 0.0000
0.0000 0.0000 6.7602
Ge Tc Dy
6 6 2
Cartesian
0.0000 1.6900 3.3801
0.0000 5.0701 3.3801
3.3801 0.0000 5.0701
5.0701 3.3801 0.0000
3.3801 0.0000 1.6900
1.6900 3.3801 0.0000
1.6900 0.0000 3.3801
0.0000 3.3801 1.6900
3.3801 5.0701 0.0000
5.0701 0.0000 3.3801
0.0000 3.3801 5.0701
3.3801 1.6900 0.0000
3.3801 3.3801 3.3801
0.0000 0.0000 0.0000
```

Values from the calculation:
The magnetic moment is 5.25 Bohr magnetons per cell. The total energy is -6.64 eV per atom.


(8)
A relaxed DyTc3Ge2 crystal. Source: Alexandria, functional PBE.

Cell and atoms, written as POSCAR:
```
DyTc3Ge2
1.0
4.1493 0.0000 0.0000
-2.0746 7.7057 -0.0435
0.0000 -3.5550 6.6409
Dy Tc Ge
2 6 4
Cartesian
2.0746 2.2319 6.2096
0.0000 1.9189 0.3878
0.0000 2.7230 3.4519
2.0746 4.8269 3.9185
2.0746 -0.9709 4.3297
0.0000 5.1216 2.2677
0.0000 -0.6762 2.6789
2.0746 1.4278 3.1454
0.0000 4.4579 5.3836
2.0746 -0.3071 1.2138
2.0746 3.6394 1.6962
0.0000 0.5114 4.9012
```

Values from the calculation:
The magnetic moment is 0.00 Bohr magnetons per cell. The total energy is -7.87 eV per atom.


(9)
A relaxed DyTc4Ge2 crystal. Source: Alexandria, functional PBE.

Cell and atoms, written as POSCAR:
```
DyTc4Ge2
1.0
-3.2570 -2.3786 -0.6864
0.2373 -1.4400 3.8638
-4.4326 5.9844 0.2950
Dy Tc Ge
1 4 2
Cartesian
0.0000 0.0000 0.0000
-4.1659 1.3319 2.9597
-1.5869 1.3613 2.8123
-3.2865 0.8339 0.5126
-2.6085 3.1831 1.3465
-2.2621 -0.9914 1.9770
-5.1903 3.1572 1.4954
```

Values from the calculation:
The magnetic moment is 0.00 Bohr magnetons per cell. The total energy is -8.29 eV per atom.


(10)
A relaxed DyTcGe crystal. Source: Alexandria, functional PBE.

Cell and atoms, written as POSCAR:
```
DyTcGe
1.0
-3.4210 1.3191 1.6543
1.1298 -1.5203 3.5486
3.2412 6.3096 1.6714
Dy Tc Ge
2 2 2
Cartesian
3.2862 4.5376 3.1776
-1.1907 1.6714 1.0952
0.4750 3.0542 3.4371
1.6206 3.1548 0.8357
1.4486 0.9603 2.2300
0.6469 5.2488 2.0428
```

Values from the calculation:
The magnetic moment is 0.00 Bohr magnetons per cell. The total energy is -7.04 eV per atom.


(11)
A relaxed DyTcGe crystal. Source: Alexandria, functional PBE.

Cell and atoms, written as POSCAR:
```
DyTcGe
1.0
3.7262 0.0000 0.0000
0.0000 7.2546 0.0000
0.0000 -3.6273 6.2827
Ge Dy Tc
3 3 3
Cartesian
1.8631 3.6273 2.0942
1.8631 0.0000 4.1884
0.0000 0.0000 0.0000
0.0000 2.1953 3.8024
0.0000 -1.4320 2.4803
0.0000 2.8640 0.0000
1.8631 -2.7174 4.7066
1.8631 5.4348 0.0000
1.8631 0.9099 1.5760
```

Values from the calculation:
The magnetic moment is 0.00 Bohr magnetons per cell. The total energy is -7.02 eV per atom.


(12)
A relaxed DyTc3Ge3 crystal. Source: Alexandria, functional PBE.

Cell and atoms, written as POSCAR:
```
DyTc3Ge3
1.0
4.4206 0.0000 0.0000
0.0000 7.0859 -4.0911
0.0000 0.0000 8.1821
Dy Tc Ge
2 6 6
Cartesian
3.3155 4.7240 0.0000
1.1052 2.3620 4.0911
3.3155 6.7166 2.5597
3.3155 1.5109 0.4459
3.3155 5.9444 -3.0055
1.1052 0.3693 1.5314
1.1052 5.5751 3.6452
1.1052 1.1416 7.0966
3.3155 4.2225 3.1605
3.3155 2.2376 6.1676
3.3155 0.6258 2.9451
1.1052 2.8634 0.9305
1.1052 4.8484 -2.0765
1.1052 6.4601 1.1460
```

Values from the calculation:
The magnetic moment is 0.00 Bohr magnetons per cell. The total energy is -7.34 eV per atom.


no.,density of states at the Fermi level (states/eV per cell),ΔE_f (eV/f.u.)
1,15.89,3.2
2,11.74,-2.2
3,2.49,-1.0
4,10.98,-5.2
5,6.31,-7.1
6,3.06,-2.2
7,13.07,3.1
8,6.71,-2.3
9,4.70,-2.7
10,5.37,-1.5
11,11.35,-1.5
12,7.16,-1.8